Compound: Ti2OsPbW
Source: Alexandria
Functional: PBE
Structure: relaxed

Geometry as POSCAR:
```
Ti2OsPbW
1.0
4.777 0.000 0.000
0.000 4.777 0.000
0.000 0.000 4.812
Ti Os Pb W
2 1 1 1
Direct
0.000 0.500 0.000
0.500 0.000 0.000
0.000 0.000 0.000
0.500 0.500 0.500
0.000 0.000 0.500
```

Summary:
As for the density of states at the Fermi level: 3.52 states/eV per cell. Its symmetry is No. 123. For the energy relative to the elements, the calculation gives 72 kJ/mol of atoms.

Compound: ThTl6
Source: Alexandria
Functional: PBE
Structure: relaxed

Geometry as POSCAR:
```
ThTl6
1.0
-4.129 4.129 4.129
4.129 -4.129 4.129
4.129 4.129 -4.129
Th Tl
1 6
Direct
0.000 0.000 0.000
0.250 0.500 0.750
0.250 0.750 0.500
0.500 0.250 0.750
0.500 0.750 0.250
0.750 0.250 0.500
0.750 0.500 0.250
```

Summary:
As for the density of states at the Fermi level: 8.91 states/eV per cell. Its symmetry is No. 229. For the energy relative to the elements, the calculation gives 73 kJ/mol of atoms.

Compound: V3PPd
Source: Alexandria
Functional: PBE
Structure: relaxed

Geometry as POSCAR:
```
V3PPd
1.0
4.317 0.000 0.000
0.000 4.317 0.000
0.000 0.000 4.317
V P Pd
3 1 1
Direct
0.000 0.000 0.500
0.000 0.500 0.000
0.500 0.000 0.000
0.000 0.000 0.000
0.500 0.500 0.500
```

Summary:
As for the density of states at the Fermi level: 5.79 states/eV per cell. Its symmetry is No. 221. For the energy relative to the elements, the calculation gives 21 kJ/mol of atoms.

Compound: KAlP3
Source: Alexandria
Functional: PBE
Structure: relaxed

Geometry as POSCAR:
```
KAlP3
1.0
5.269 0.000 0.000
0.000 5.269 0.000
0.000 0.000 5.269
K Al P
1 1 3
Direct
0.000 0.000 0.000
0.500 0.500 0.500
0.000 0.000 0.500
0.000 0.500 0.000
0.500 0.000 0.000
```

Summary:
As for the density of states at the Fermi level: 6.04 states/eV per cell. Its symmetry is No. 221. For the energy relative to the elements, the calculation gives 187 kJ/mol of atoms.

The records above give, respectively, volume values of 21.96; 40.23; 16.09; 29.25 Å³ per atom.